# KSe2I2 GGA-PBEsol optimized geometry
data_KSe2I2
_cell_length_a 3.7006
_cell_length_b 3.7006
_cell_length_c 24.6179
_cell_angle_alpha 90.00
_cell_angle_beta 90.00
_cell_angle_gamma 90.00
_space_group_name_H-M_alt 'I 4/m m m'
_space_group_IT_number 139
_space_group_name_Hall '-I 4 2'
loop_
_atom_site_label
_atom_site_type_symbol
_atom_site_fract_x
_atom_site_fract_y
_atom_site_fract_z
_atom_site_occupancy
K1 K 0.0000 0.0000 0.0000 1
Se1 Se 0.0000 0.5000 0.2500 1
I1 I 0.0000 0.0000 0.4056 1
# formation energy from raw total energies	-339	meV/atom
# uncorrected energy	-2.812	eV per atom
# total magnetic moment	0.000	μB/atom



# GdSi2Au2 GGA-PBEsol optimized geometry
data_GdSi2Au2
_cell_length_a 4.2200
_cell_length_b 4.2200
_cell_length_c 10.1468
_cell_angle_alpha 90.00
_cell_angle_beta 90.00
_cell_angle_gamma 90.00
_space_group_name_H-M_alt 'I 4/m m m'
_space_group_IT_number 139
_space_group_name_Hall '-I 4 2'
loop_
_atom_site_label
_atom_site_type_symbol
_atom_site_fract_x
_atom_site_fract_y
_atom_site_fract_z
_atom_site_occupancy
Gd1 Gd 0.0000 0.0000 0.0000 1
Si1 Si 0.0000 0.0000 0.3871 1
Au1 Au 0.0000 0.5000 0.2500 1
# formation energy from raw total energies	-665	meV/atom
# uncorrected energy	-7.423	eV per atom
# total magnetic moment	1.388	μB/atom



# Cr2PbW GGA-PBEsol optimized geometry
data_Cr2PbW
_cell_length_a 3.0302
_cell_length_b 3.7280
_cell_length_c 5.7271
_cell_angle_alpha 90.00
_cell_angle_beta 90.00
_cell_angle_gamma 90.00
_space_group_name_H-M_alt 'P m m m'
_space_group_IT_number 47
loop_
_space_group_symop_operation_xyz
'x,y,z'
'-x,-y,-z'
'-x,-y,z'
'x,y,-z'
'x,-y,-z'
'-x,y,z'
'-x,y,-z'
'x,-y,z'
loop_
_atom_site_label
_atom_site_type_symbol
_atom_site_fract_x
_atom_site_fract_y
_atom_site_fract_z
_atom_site_occupancy
Cr1 Cr 0.0000 0.0000 0.1799 1
Pb1 Pb 0.5000 0.5000 0.5000 1
W1 W 0.5000 0.5000 0.0000 1
# ΔE_f	583	meV/atom
# uncorrected energy	-8.989	eV per atom
# total magnetic moment	0.001	μB/atom